{
  "formula": "Pr3Sm2Y2",
  "functional": "PBE",
  "state": "optimized geometry",
  "space_group": "C2/m, No. 12",
  "lattice": [[8.359, -2.833, 0.000], [8.359, 2.833, 0.000], [-1.672, 0.000, 5.417]],
  "species": ["Pr", "Pr", "Pr", "Sm", "Sm", "Y", "Y"],
  "frac_coords": [[0.000, 0.000, 0.000], [0.241, 0.241, 0.232], [0.759, 0.759, 0.768], [0.110, 0.110, 0.611], [0.890, 0.890, 0.389], [0.390, 0.390, 0.856], [0.610, 0.610, 0.144]]
}

=====

{
  "formula": "Pr8SmY2",
  "functional": "PBE",
  "state": "optimized geometry",
  "space_group": "C2/m, No. 12",
  "lattice": [[4.638, -8.418, 0.000], [4.638, 8.418, 0.000], [-3.417, 0.000, 5.038]],
  "species": ["Pr", "Pr", "Pr", "Pr", "Pr", "Pr", "Pr", "Pr", "Sm", "Y", "Y"],
  "frac_coords": [[0.099, 0.337, 0.683], [0.205, 0.795, 0.000], [0.337, 0.099, 0.683], [0.423, 0.423, 0.204], [0.577, 0.577, 0.796], [0.663, 0.901, 0.317], [0.795, 0.205, 0.000], [0.901, 0.663, 0.317], [0.000, 0.000, 0.000], [0.310, 0.690, 0.500], [0.690, 0.310, 0.500]]
}

=====

Total magnetization values, unit Bohr magnetons per cell, following the record order: 0.00, 0.00.
Formation energy from the elements values, unit eV per atom, following the record order: 0.29, 0.13.